Entry 1:
The following is a DFT calculation (PBE) of a relaxed BaMgCl2 crystal.

Lattice parameters (Å, degrees): 7.880 7.880 7.880 90.00 90.00 90.00
Space group F-43m (No. 216)
One atom of each set of equivalent atoms:
1 Ba 0.000 0.000 0.000
2 Mg 0.250 0.250 0.750
3 Cl 0.000 0.000 0.500
4 Cl 0.250 0.250 0.250

Entry 2:
The following is a DFT calculation (PBE) of a relaxed TaInP crystal.

Calculated values
Energy of formation, eV per atom: 0.64

Lattice parameters (Å, degrees): 6.356 6.356 6.356 90.00 90.00 90.00
Space group F-43m (No. 216)
One atom of each set of equivalent atoms:
1 Ta 0.000 0.000 0.000
2 In 0.250 0.250 0.750
3 P 0.250 0.250 0.250

Entry 3:
The following is a DFT calculation (PBE) of a relaxed Al2Ni2Au crystal.

Calculated values
Energy of formation, eV per atom: -0.21

Lattice parameters (Å, degrees): 3.711 3.711 10.629 90.00 90.00 90.00
Space group I4/mmm (No. 139)
One atom of each set of equivalent atoms:
1 Al 0.000 0.500 0.250
2 Ni 0.000 0.000 0.108
3 Au 0.000 0.000 0.500

Number 1: E above lowest polymorph 1.54 eV per formula unit, total magnetization 0.0 μB per formula unit. Number 2: E above lowest polymorph 2.68 eV per formula unit, total magnetization 0.0 μB per formula unit. Number 3: E above lowest polymorph 1.32 eV per formula unit, total magnetization 0.0 μB per formula unit.